Entry 1:
This record from Alexandria describes an optimized crystal structure of NbVSe2N. The functional is PBE.

Results
ΔE to the lowest computed polymorph: 280 meV/atom
ρ: 5.1 g cm⁻³
Electronic total energy: -32.4 eV/cell
DOS at the Fermi energy: 1.3892 states/eV/atom
ΔE_f (raw): 0.41 eV/atom

Geometry as CIF:
```
data_NbVSe2N
_chemical_formula_sum 'Nb1 V1 Se2 N1'
_cell_length_a 5.151
_cell_length_b 5.151
_cell_length_c 3.868
_cell_angle_alpha 90.00
_cell_angle_beta 90.00
_cell_angle_gamma 90.00
_space_group_name_H-M_alt 'P 4/m m m'
_space_group_IT_number 123
_space_group_name_Hall '-P 4 2'
loop_
_atom_site_label
_atom_site_type_symbol
_atom_site_fract_x
_atom_site_fract_y
_atom_site_fract_z
Nb1 Nb 0.000 0.000 0.000
V1 V 0.500 0.500 0.500
Se1 Se 0.000 0.500 0.000
N1 N 0.000 0.000 0.500
```

=====

Entry 2:
This record from Alexandria describes an optimized crystal structure of NbVSeN2. The functional is PBE.

Results
ΔE to the lowest computed polymorph: 206 meV/atom
ρ: 5.0 g cm⁻³
Electronic total energy: -36.4 eV/cell
DOS at the Fermi energy: 1.7046 states/eV/atom
ΔE_f (raw): 0.59 eV/atom

Geometry as CIF:
```
data_NbVSeN2
_chemical_formula_sum 'Nb1 V1 Se1 N2'
_cell_length_a 3.979
_cell_length_b 3.979
_cell_length_c 5.302
_cell_angle_alpha 90.00
_cell_angle_beta 90.00
_cell_angle_gamma 90.00
_space_group_name_H-M_alt 'P 4/m m m'
_space_group_IT_number 123
_space_group_name_Hall '-P 4 2'
loop_
_atom_site_label
_atom_site_type_symbol
_atom_site_fract_x
_atom_site_fract_y
_atom_site_fract_z
Nb1 Nb 0.000 0.000 0.000
V1 V 0.500 0.500 0.500
Se1 Se 0.000 0.000 0.500
N1 N 0.000 0.500 0.000
```

=====

Entry 3:
This record from Alexandria describes an optimized crystal structure of NbWSeN2. The functional is PBE.

Results
ΔE to the lowest computed polymorph: 490 meV/atom
ρ: 7.4 g cm⁻³
Electronic total energy: -38.0 eV/cell
DOS at the Fermi energy: 0.6848 states/eV/atom
ΔE_f (raw): 1.04 eV/atom

Geometry as CIF:
```
data_NbWSeN2
_chemical_formula_sum 'Nb1 W1 Se1 N2'
_cell_length_a 4.002
_cell_length_b 4.002
_cell_length_c 5.385
_cell_angle_alpha 90.00
_cell_angle_beta 90.00
_cell_angle_gamma 90.00
_space_group_name_H-M_alt 'P 4/m m m'
_space_group_IT_number 123
_space_group_name_Hall '-P 4 2'
loop_
_atom_site_label
_atom_site_type_symbol
_atom_site_fract_x
_atom_site_fract_y
_atom_site_fract_z
Nb1 Nb 0.000 0.000 0.000
W1 W 0.500 0.500 0.500
Se1 Se 0.000 0.000 0.500
N1 N 0.000 0.500 0.000
```

=====

Entry 4:
This record from Alexandria describes an optimized crystal structure of NbWSeN2. The functional is PBE.

Results
ΔE to the lowest computed polymorph: 0 meV/atom
ρ: 8.0 g cm⁻³
Electronic total energy: -40.4 eV/cell
DOS at the Fermi energy: 1.1009 states/eV/atom
ΔE_f (raw): 0.55 eV/atom

Geometry as CIF:
```
data_NbWSeN2
_chemical_formula_sum 'Nb1 W1 Se1 N2'
_cell_length_a 3.924
_cell_length_b 3.924
_cell_length_c 5.169
_cell_angle_alpha 90.00
_cell_angle_beta 90.00
_cell_angle_gamma 90.00
_space_group_name_H-M_alt 'P 4/m m m'
_space_group_IT_number 123
_space_group_name_Hall '-P 4 2'
loop_
_atom_site_label
_atom_site_type_symbol
_atom_site_fract_x
_atom_site_fract_y
_atom_site_fract_z
Nb1 Nb 0.000 0.000 0.000
W1 W 0.500 0.500 0.500
Se1 Se 0.500 0.500 0.000
N1 N 0.000 0.500 0.500
```